Compound: K2HfBi2
Source: the Alexandria database
Functional: PBE
Structure: relaxed

The structure belongs to space group P4/mbm (No. 127); the cell edges are 7.863, 7.863 and 5.935 Å and the angles 90.00°, 90.00° and 90.00°. Symmetry generates all atoms from K at (0.162, 0.338, 0.000), Hf at (0.000, 0.000, 0.500) and Bi at (0.154, 0.654, 0.500).

The calculation puts the density of states at the Fermi level at 5.44 states/eV/cell. Its formation enthalpy at 0 K is -0.02 eV per atom.



Compound: KHf3Bi
Source: the Alexandria database
Functional: PBE
Structure: relaxed

The structure belongs to space group Pm-3m (No. 221); the cell edges are 5.548, 5.548 and 5.548 Å and the angles 90.00°, 90.00° and 90.00°. Symmetry generates all atoms from K at (0.000, 0.000, 0.000), Hf at (0.000, 0.500, 0.500) and Bi at (0.500, 0.500, 0.500).

The calculation puts the density of states at the Fermi level at 7.97 states/eV/cell. Its formation enthalpy at 0 K is 1.39 eV per atom. The calculation puts the energy above the lowest structure with this stoichiometry at 0 meV/atom.



Compound: K3Hf2Bi4
Source: the Alexandria database
Functional: PBE
Structure: relaxed

The structure belongs to space group C2/m (No. 12); the cell edges are 18.901, 3.413 and 11.034 Å and the angles 90.00°, 118.11° and 90.00°. Symmetry generates all atoms from K at (0.000, 0.000, 0.000), K at (0.107, 0.500, 0.477), Hf at (0.235, 0.500, 0.105), Bi at (0.106, 0.500, 0.813) and Bi at (0.187, 0.000, 0.281).

The calculation puts the density of states at the Fermi level at 6.33 states/eV/cell. Its formation enthalpy at 0 K is -0.22 eV per atom.